Entry 1:
BaMn2O3 PBE with a Hubbard U optimized geometry; space-group type = Immm (71); density = 5440 kg/m³; DFT total energy = -43.29 eV per cell; size of the total moment = 10.00 μB/f.u.
1.0
1.043 -4.929 3.762
-2.929 -1.165 5.441
-0.654 1.230 -6.132
Mn O Ba
2 3 1
direct
0.812 0.312 0.500
0.188 0.688 0.500
0.296 0.296 0.000
0.704 0.704 0.000
0.000 0.500 0.500
0.500 0.000 0.500

=====

Entry 2:
BaMn8O16 PBE with a Hubbard U optimized geometry; space-group type = P2/c (13); density = 4676 kg/m³; DFT total energy = -361.35 eV per cell; size of the total moment = 26.00 μB/f.u.
1.0
5.933 0.000 0.000
0.000 9.905 -0.033
0.000 9.756 10.033
Mn O Ba
16 32 2
direct
0.875 0.316 0.088
0.374 0.684 0.415
0.124 0.986 0.099
0.375 0.024 0.896
0.374 0.316 0.085
0.876 0.014 0.901
0.876 0.986 0.599
0.625 0.976 0.104
0.875 0.684 0.412
0.125 0.684 0.912
0.125 0.316 0.588
0.375 0.976 0.604
0.626 0.684 0.915
0.626 0.316 0.585
0.625 0.024 0.396
0.124 0.014 0.401
0.371 0.442 0.457
0.629 0.558 0.543
0.366 0.140 0.411
0.366 0.860 0.089
0.121 0.442 0.957
0.627 0.112 0.596
0.627 0.888 0.904
0.876 0.885 0.405
0.124 0.115 0.595
0.115 0.148 0.907
0.126 0.777 0.292
0.373 0.112 0.096
0.623 0.778 0.294
0.634 0.860 0.589
0.371 0.558 0.043
0.377 0.778 0.794
0.377 0.222 0.706
0.629 0.442 0.957
0.885 0.148 0.407
0.124 0.885 0.905
0.623 0.222 0.206
0.879 0.442 0.457
0.115 0.852 0.593
0.121 0.558 0.543
0.876 0.115 0.095
0.879 0.558 0.043
0.874 0.777 0.792
0.126 0.223 0.208
0.874 0.223 0.708
0.373 0.888 0.404
0.634 0.140 0.911
0.885 0.852 0.093
0.132 0.500 0.250
0.868 0.500 0.750

=====

Entry 3:
BaMn2O5 PBE with a Hubbard U optimized geometry; space-group type = Cmmm (65); density = 5549 kg/m³; DFT total energy = -54.60 eV per cell; size of the total moment = 5.99 μB/f.u.
1.0
2.076 -6.104 0.000
2.076 6.104 0.000
0.000 0.000 3.863
O Mn Ba
5 2 1
direct
0.179 0.821 0.500
0.353 0.647 0.000
0.500 0.500 0.500
0.647 0.353 0.000
0.821 0.179 0.500
0.336 0.664 0.500
0.664 0.336 0.500
0.000 0.000 0.000

=====

Entry 4:
Ba2Mn3O8 PBE with a Hubbard U optimized geometry; space-group type = P4/mmm (123); density = 4833 kg/m³; DFT total energy = -86.91 eV per cell; size of the total moment = 9.05 μB/f.u.
1.0
3.885 0.000 0.000
0.000 3.885 0.000
0.000 0.000 12.922
Mn O Ba
3 8 2
direct
0.500 0.500 0.000
0.500 0.500 0.318
0.500 0.500 0.682
0.500 0.000 0.000
0.000 0.500 0.000
0.500 0.500 0.830
0.500 0.000 0.666
0.000 0.500 0.334
0.000 0.500 0.666
0.500 0.000 0.334
0.500 0.500 0.170
0.000 0.000 0.163
0.000 0.000 0.837

=====

Entry 5:
BaMn2O PBE with a Hubbard U optimized geometry; space-group type = Fd-3m (227); density = 4085 kg/m³; DFT total energy = -46.90 eV per cell; size of the total moment = 8.64 μB/f.u.
1.0
-3.754 4.968 2.506
-2.991 -4.351 4.145
-0.052 1.159 6.613
Mn O Ba
4 2 2
direct
0.875 0.625 0.750
0.375 0.625 0.750
0.375 0.625 0.250
0.375 0.125 0.250
0.250 0.750 0.500
0.500 0.500 0.000
0.750 0.250 0.500
0.000 0.000 0.000

=====

Entry 6:
Ba3MnO5 PBE with a Hubbard U optimized geometry; space-group type = I4/mcm (140); density = 5579 kg/m³; DFT total energy = -115.97 eV per cell; size of the total moment = 2.99 μB/f.u.
1.0
-0.769 1.660 7.109
-7.202 -1.338 -0.466
-3.006 -5.621 4.777
O Mn Ba
10 2 6
direct
0.782 0.020 0.698
0.000 0.000 0.000
0.980 0.480 0.302
0.282 0.782 0.698
0.718 0.218 0.302
0.218 0.980 0.302
0.520 0.282 0.698
0.500 0.500 0.000
0.020 0.520 0.698
0.480 0.718 0.302
0.750 0.250 0.500
0.250 0.750 0.500
0.322 0.822 0.000
0.178 0.322 0.000
0.822 0.678 0.000
0.750 0.750 0.500
0.678 0.178 0.000
0.250 0.250 0.500

=====

Entry 7:
Ba12Mn3O5 PBE with a Hubbard U optimized geometry; space-group type = Ia-3d (230); density = 4184 kg/m³; DFT total energy = -360.26 eV per cell; size of the total moment = 15.07 μB/f.u.
1.0
-11.379 -6.566 -8.679
13.180 1.046 -8.550
2.687 -8.883 12.720
Mn Ba O
12 48 20
direct
0.750 0.875 0.625
0.750 0.375 0.125
0.125 0.875 0.750
0.125 0.250 0.875
0.250 0.125 0.375
0.875 0.750 0.125
0.875 0.125 0.250
0.375 0.625 0.250
0.625 0.375 0.750
0.250 0.625 0.875
0.625 0.250 0.375
0.375 0.750 0.625
0.110 0.417 0.103
0.307 0.417 0.814
0.897 0.083 0.890
0.917 0.814 0.807
0.583 0.693 0.686
0.897 0.814 0.507
0.307 0.890 0.993
0.693 0.583 0.186
0.007 0.397 0.814
0.993 0.390 0.307
0.493 0.807 0.890
0.103 0.186 0.493
0.083 0.186 0.193
0.686 0.193 0.583
0.417 0.307 0.314
0.314 0.807 0.417
0.193 0.686 0.083
0.917 0.103 0.610
0.807 0.314 0.917
0.103 0.917 0.110
0.993 0.603 0.186
0.186 0.103 0.993
0.390 0.993 0.807
0.493 0.686 0.103
0.193 0.507 0.610
0.807 0.493 0.390
0.693 0.110 0.007
0.610 0.007 0.193
0.186 0.083 0.693
0.814 0.897 0.007
0.603 0.993 0.686
0.110 0.693 0.507
0.890 0.583 0.897
0.417 0.110 0.603
0.814 0.917 0.307
0.890 0.307 0.493
0.007 0.610 0.693
0.083 0.897 0.390
0.583 0.890 0.397
0.314 0.507 0.397
0.507 0.314 0.897
0.610 0.603 0.917
0.603 0.610 0.417
0.397 0.007 0.314
0.390 0.397 0.083
0.507 0.193 0.110
0.686 0.493 0.603
0.397 0.390 0.583
0.625 0.750 0.875
0.125 0.750 0.375
0.750 0.625 0.375
0.875 0.625 0.750
0.750 0.125 0.875
0.250 0.875 0.125
0.500 0.000 0.500
0.625 0.875 0.250
0.875 0.250 0.625
0.500 0.500 0.000
0.000 0.000 0.000
0.125 0.375 0.250
0.000 0.000 0.500
0.000 0.500 0.000
0.000 0.500 0.500
0.375 0.250 0.125
0.500 0.000 0.000
0.500 0.500 0.500
0.250 0.375 0.625
0.375 0.125 0.750

=====

Entry 8:
Ba3MnO PBE with a Hubbard U optimized geometry; space-group type = Pm-3m (221); density = 4538 kg/m³; DFT total energy = -22.06 eV per cell; size of the total moment = 5.18 μB/f.u.
1.0
5.612 0.000 0.000
0.000 5.612 0.000
0.000 0.000 5.612
Ba Mn O
3 1 1
direct
0.000 0.500 0.000
0.000 0.000 0.500
0.500 0.000 0.000
0.500 0.500 0.500
0.000 0.000 0.000

=====

Entry 9:
BaMn2O4 PBE with a Hubbard U optimized geometry; space-group type = Fddd (70); density = 4151 kg/m³; DFT total energy = -191.18 eV per cell; size of the total moment = 8.00 μB/f.u.
1.0
0.000 6.595 7.157
5.275 0.000 7.157
5.275 6.595 0.000
O Ba Mn
16 4 8
direct
0.876 0.954 0.257
0.518 0.737 0.524
0.296 0.374 0.337
0.257 0.913 0.876
0.374 0.296 0.993
0.220 0.524 0.737
0.737 0.518 0.220
0.337 0.993 0.296
0.732 0.513 0.726
0.524 0.220 0.518
0.993 0.337 0.374
0.954 0.876 0.913
0.513 0.732 0.030
0.726 0.030 0.732
0.030 0.726 0.513
0.913 0.257 0.954
0.125 0.125 0.625
0.625 0.125 0.125
0.125 0.125 0.125
0.125 0.625 0.125
0.276 0.466 0.505
0.745 0.497 0.974
0.505 0.753 0.276
0.974 0.784 0.745
0.466 0.276 0.753
0.753 0.505 0.466
0.784 0.974 0.497
0.497 0.745 0.784

=====

Entry 10:
BaMn3O PBE with a Hubbard U optimized geometry; space-group type = Pm-3m (221); density = 4669 kg/m³; DFT total energy = -28.17 eV per cell; size of the total moment = 13.30 μB/f.u.
1.0
4.837 0.000 0.000
0.000 4.837 0.000
0.000 0.000 4.837
O Mn Ba
1 3 1
direct
0.000 0.000 0.000
0.500 0.000 0.000
0.000 0.000 0.500
0.000 0.500 0.000
0.500 0.500 0.500

=====

Entry 11:
Ba5MnO6 PBE with a Hubbard U optimized geometry; space-group type = C2/m (12); density = 5628 kg/m³; DFT total energy = -73.43 eV per cell; size of the total moment = 4.98 μB/f.u.
1.0
-3.029 2.966 -5.142
-6.573 -0.370 0.957
-3.157 4.930 3.352
O Ba Mn
6 5 1
direct
0.735 0.431 0.664
0.811 0.799 0.000
0.735 0.096 0.336
0.265 0.569 0.336
0.265 0.904 0.664
0.189 0.201 0.000
0.500 0.838 0.324
0.500 0.500 0.000
0.000 0.671 0.658
0.500 0.162 0.676
0.000 0.329 0.342
0.000 0.000 0.000

=====

Entry 12:
BaMn2O8 PBE with a Hubbard U optimized geometry; space-group type = Fddd (70); density = 3913 kg/m³; DFT total energy = -138.25 eV per cell; size of the total moment = 7.81 μB/f.u.
1.0
8.625 3.571 5.529
1.328 5.907 6.077
5.046 -4.092 4.097
O Mn Ba
16 4 2
direct
0.742 0.993 0.250
0.603 0.446 0.071
0.446 0.603 0.880
0.235 0.000 0.257
0.880 0.071 0.446
0.257 0.508 0.235
0.647 0.804 0.179
0.071 0.880 0.603
0.993 0.742 0.015
0.804 0.647 0.370
0.179 0.370 0.647
0.370 0.179 0.804
0.250 0.015 0.742
0.015 0.250 0.993
0.508 0.257 0.000
0.000 0.235 0.508
0.004 0.496 0.004
0.496 0.004 0.496
0.754 0.246 0.754
0.246 0.754 0.246
0.750 0.750 0.750
0.500 0.500 0.500